Compound: Dy5Ho4Mg
Source: Alexandria via LeMat-Bulk
Functional: PBE
Structure: relaxed

## Properties
* E_form: 0.22 eV/atom
* offset from the most stable computed form: 0.215 eV per atom

Unit cell a=7.976 b=7.976 c=7.976 alpha=97.36 beta=97.36 gamma=138.07
Element x y z (fractional)
Dy  0.000  0.000  0.000
Dy  0.532  0.532  0.628
Dy  0.532  0.904  0.000
Dy  0.904  0.532  0.000
Dy  0.904  0.904  0.372
Ho  0.208  0.530  0.321
Ho  0.208  0.887  0.679
Ho  0.530  0.208  0.321
Ho  0.887  0.208  0.679
Mg  0.478  0.478  0.000